# 1
{
  "formula": "KNaHg3",
  "functional": "PBE",
  "state": "optimized geometry",
  "lattice": [[6.300, 0.000, 0.000], [0.000, 6.300, 0.000], [0.000, 0.000, 6.300]],
  "species": ["K", "Na", "Hg", "Hg", "Hg"],
  "fractional_positions": [[0.000, 0.000, 0.000], [0.500, 0.500, 0.500], [0.000, 0.000, 0.500], [0.000, 0.500, 0.000], [0.500, 0.000, 0.000]],
  "e_above_lowest_polymorph_kcal_per_mol_atoms": 8.802,
  "crystal_system": "cubic",
  "formation_energy_ev_per_fu": 0.65
}

# 2
{
  "formula": "Y2PdCS",
  "functional": "PBE",
  "state": "optimized geometry",
  "lattice": [[5.200, 0.000, 0.000], [0.000, 5.200, 0.000], [0.000, 0.000, 3.711]],
  "species": ["Y", "Y", "Pd", "C", "S"],
  "fractional_positions": [[0.000, 0.500, 0.000], [0.500, 0.000, 0.000], [0.000, 0.000, 0.500], [0.500, 0.500, 0.500], [0.500, 0.500, 0.000]],
  "crystal_system": "tetragonal",
  "raw_formation_energy_ev_per_atom": 0.05
}

# 3
{
  "formula": "Re2Ag2Br",
  "functional": "PBE",
  "state": "optimized geometry",
  "lattice": [[3.816, 0.000, 0.000], [0.000, 3.816, 0.000], [0.000, 0.000, 13.043]],
  "species": ["Re", "Re", "Re", "Re", "Ag", "Ag", "Ag", "Ag", "Br", "Br"],
  "fractional_positions": [[0.000, 0.000, 0.089], [0.000, 0.000, 0.911], [0.500, 0.500, 0.411], [0.500, 0.500, 0.589], [0.000, 0.500, 0.250], [0.000, 0.500, 0.750], [0.500, 0.000, 0.250], [0.500, 0.000, 0.750], [0.000, 0.000, 0.500], [0.500, 0.500, 0.000]],
  "e_above_lowest_polymorph_kcal_per_mol_atoms": 9.639,
  "crystal_system": "tetragonal",
  "raw_formation_energy_ev_per_atom": 1.42
}

# 4
{
  "formula": "GaSe2NF",
  "functional": "PBE",
  "state": "optimized geometry",
  "lattice": [[5.328, 0.000, 0.000], [0.000, 5.328, 0.000], [0.000, 0.000, 3.569]],
  "species": ["Ga", "Se", "Se", "N", "F"],
  "fractional_positions": [[0.000, 0.000, 0.000], [0.000, 0.500, 0.000], [0.500, 0.000, 0.000], [0.000, 0.000, 0.500], [0.500, 0.500, 0.500]],
  "e_above_lowest_polymorph_kcal_per_mol_atoms": 8.300,
  "crystal_system": "tetragonal",
  "raw_formation_energy_ev_per_atom": 0.73
}